1.
Material: ZnCr2PdF
Method: DFT, PBE+U
State: optimized geometry

Results
Space-group type: P4/mmm
Mass density, g/cm³: 4.0
DOS at the Fermi energy, states/eV/atom: 0.555
E, eV per atom: -4.4161
Total moment, μB/f.u.: 9.71
Crystal system: tetragonal

Unit cell a=5.082 b=5.082 c=4.752 alpha=90.00 beta=90.00 gamma=90.00
Sites, in units of the cell vectors:
Zn 0.000 0.000 0.000
Cr 0.000 0.500 0.500
Cr 0.500 0.000 0.500
Pd 0.000 0.000 0.500
F 0.500 0.500 0.000

2.
Material: PmCrF6
Method: DFT, PBE+U
State: optimized geometry

Results
Space-group type: P-1
Mass density, g/cm³: 3.9
Energy above the lowest structure with this stoichiometry, eV per atom: 0.000
DOS at the Fermi energy, states/eV/atom: 0.000
Total moment, μB/f.u.: 3.00
Crystal system: triclinic

Unit cell a=5.554 b=5.565 c=5.878 alpha=61.90 beta=61.92 gamma=60.12
Sites, in units of the cell vectors:
Pm 0.000 0.000 0.000
Cr 0.500 0.500 0.500
F 0.167 0.728 0.730
F 0.272 0.623 0.270
F 0.376 0.166 0.731
F 0.624 0.834 0.269
F 0.728 0.377 0.730
F 0.833 0.272 0.270

3.
Material: PmCrF6
Method: DFT, PBE+U
State: optimized geometry

Results
Space-group type: C2/m
Mass density, g/cm³: 4.5
Energy above the lowest structure with this stoichiometry, eV per atom: 0.068
DOS at the Fermi energy, states/eV/atom: 0.000
Total moment, μB/f.u.: 3.00
Crystal system: monoclinic

Unit cell a=4.921 b=4.921 c=5.184 alpha=96.35 beta=96.35 gamma=111.60
Sites, in units of the cell vectors:
Pm 0.000 0.000 0.000
Cr 0.500 0.500 0.500
F 0.159 0.472 0.248
F 0.231 0.231 0.688
F 0.472 0.159 0.248
F 0.528 0.841 0.752
F 0.769 0.769 0.312
F 0.841 0.528 0.752

4.
Material: PmCrF5
Method: DFT, PBE+U
State: optimized geometry

Results
Space-group type: C2/c
Mass density, g/cm³: 4.1
DOS at the Fermi energy, states/eV/atom: 0.000
E, eV per atom: -6.5150
Total moment, μB/f.u.: 4.00
Crystal system: monoclinic

Unit cell a=5.881 b=5.881 c=7.603 alpha=108.03 beta=108.03 gamma=77.08
Sites, in units of the cell vectors:
Pm 0.057 0.943 0.750
Pm 0.943 0.057 0.250
Cr 0.500 0.500 0.000
Cr 0.500 0.500 0.500
F 0.163 0.813 0.036
F 0.187 0.837 0.464
F 0.233 0.298 0.375
F 0.298 0.233 0.875
F 0.383 0.617 0.750
F 0.617 0.383 0.250
F 0.702 0.767 0.125
F 0.767 0.702 0.625
F 0.813 0.163 0.536
F 0.837 0.187 0.964